! CsSnSb2Te | Alexandria via LeMat-Bulk | PBE-GGA | optimized geometry; values from VASP
&SYSTEM
  ibrav = 0, nat = 5, ntyp = 4
/
ATOMIC_SPECIES
Cs 132.91 Cs.upf
Sn 118.71 Sn.upf
Sb 121.76 Sb.upf
Te 127.60 Te.upf
ATOMIC_POSITIONS angstrom
Cs 0.0000 0.0000 0.0000
Sn 3.0678 3.0678 3.1439
Sb 0.0000 3.0678 0.0000
Sb 3.0678 0.0000 0.0000
Te 0.0000 0.0000 3.1439
CELL_PARAMETERS angstrom
6.1356 0.0000 0.0000
0.0000 6.1356 0.0000
0.0000 0.0000 6.2877
! - mass density (g/cm³) = 4.4
! - crystal system = tetragonal
! - ΔE_f (raw) (kJ/mol of formula units) = 623.8

---

! Cs4Tl2SnSb2 | Alexandria via LeMat-Bulk | PBE-GGA | optimized geometry; values from VASP
&SYSTEM
  ibrav = 0, nat = 9, ntyp = 4
/
ATOMIC_SPECIES
Cs 132.91 Cs.upf
Tl 204.38 Tl.upf
Sn 118.71 Sn.upf
Sb 121.76 Sb.upf
ATOMIC_POSITIONS angstrom
Cs 1.0970 3.2538 5.6411
Cs 4.4143 3.2538 1.9930
Cs 1.0970 -3.2538 5.6411
Cs 4.4143 -3.2538 1.9930
Tl -1.1714 0.0000 6.6636
Tl 6.6827 0.0000 0.9705
Sn 2.7557 0.0000 3.8170
Sb 2.0928 0.0000 1.0671
Sb 3.4185 0.0000 6.5669
CELL_PARAMETERS angstrom
5.4739 -5.5632 0.0000
5.4739 5.5632 0.0000
-5.4365 0.0000 7.6341
! - mass density (g/cm³) = 4.7
! - crystal system = monoclinic
! - ΔE_f (raw) (kJ/mol of formula units) = -112.8

---

! Cs3Tl2Sn2Sb4 | Alexandria via LeMat-Bulk | PBE-GGA | optimized geometry; values from VASP
&SYSTEM
  ibrav = 0, nat = 11, ntyp = 4
/
ATOMIC_SPECIES
Cs 132.91 Cs.upf
Tl 204.38 Tl.upf
Sn 118.71 Sn.upf
Sb 121.76 Sb.upf
ATOMIC_POSITIONS angstrom
Cs 0.0000 0.0000 0.0000
Cs 0.0000 0.0000 5.7063
Cs 0.0000 0.0000 14.1906
Tl 0.0000 3.0744 2.8716
Tl 2.6625 1.5372 17.0253
Sn 0.0000 3.0744 11.1237
Sn 2.6625 1.5372 8.7732
Sb 0.0000 3.0744 8.2050
Sb 0.0000 3.0744 17.0375
Sb 2.6625 1.5372 2.8594
Sb 2.6625 1.5372 11.6919
CELL_PARAMETERS angstrom
5.3250 0.0000 0.0000
-2.6625 4.6116 0.0000
0.0000 0.0000 19.8969
! - mass density (g/cm³) = 5.2
! - crystal system = trigonal
! - ΔE_f (raw) (kJ/mol of formula units) = -224.2

---

Total DFT energy (no corrections) across the listed records, respectively: -9.778; -21.564; -34.112 eV per cell.